Record 1
FeTc2Rh | PBE | optimized geometry

Results
As for the energy relative to the elements: 37 meV per atom. Its density is 10.68 g/cm³. The magnetic moment is 0.4973 μB/atom.

Lattice parameters (Å, degrees): 4.6421 4.6421 4.7041 99.02 99.02 33.46
With the nearest neighbours (Å) after each atom.
Element x y z (fractional)
Fe: 0.0000 0.0000 0.0000  7 Tc 2.65-2.71, 3 Rh 2.65-2.69, 2 Fe 2.67
Tc: 0.2557 0.2557 0.7542  5 Tc 2.62-2.76, 3 Fe 2.65-2.71, 4 Rh 2.67-2.74
Tc: 0.4972 0.4972 0.5002  5 Tc 2.62-2.76, 3 Rh 2.68-2.73, 4 Fe 2.70-2.71
Rh: 0.7510 0.7510 0.2431  3 Fe 2.65-2.69, 7 Tc 2.67-2.74, 2 Rh 2.67

=====

Record 2
FeTc2Rh | PBE | optimized geometry

Results
As for the energy relative to the elements: 2 meV per atom. Its density is 10.94 g/cm³. The magnetic moment is 0.0000 μB/atom.

Lattice parameters (Å, degrees): 2.6766 3.7277 5.3949 90.00 90.00 90.00
With the nearest neighbours (Å) after each atom.
Element x y z (fractional)
Fe: 0.0000 0.0000 0.0000  8 Tc 2.60, 2 Fe 2.68, 2 Rh 2.70
Tc: 0.5000 0.5000 0.2279  3 Tc 2.46-2.68, 4 Fe 2.60, 4 Rh 2.72
Tc: 0.5000 0.5000 0.7721  3 Tc 2.46-2.68, 4 Fe 2.60, 4 Rh 2.72
Rh: 0.0000 0.0000 0.5000  2 Rh 2.68, 2 Fe 2.70, 8 Tc 2.72

=====

Record 3
FeTcRh2 | PBE | optimized geometry

Results
As for the energy relative to the elements: 128 meV per atom. Its density is 10.67 g/cm³. The magnetic moment is 0.7692 μB/atom.

Lattice parameters (Å, degrees): 5.2205 5.2205 5.2205 148.55 130.50 59.83
With the nearest neighbours (Å) after each atom.
Element x y z (fractional)
Fe: 0.0000 0.0000 0.0000  2 Tc 2.44, 6 Rh 2.49-2.60
Tc: 0.7801 0.2801 0.5000  2 Fe 2.44, 4 Rh 2.65
Rh: 0.2269 0.7269 0.5000  2 Fe 2.49, 4 Tc 2.65
Rh: 0.5077 0.5077 0.0000  4 Fe 2.60, 4 Rh 2.83-2.91, 2 Tc 2.84

=====

Record 4
FeTcRh2 | PBE | optimized geometry

Results
As for the energy relative to the elements: 18 meV per atom. Its density is 10.83 g/cm³. The magnetic moment is 0.5509 μB/atom.

Lattice parameters (Å, degrees): 4.1080 5.1518 5.1518 30.38 90.00 90.00
With the nearest neighbours (Å) after each atom.
Element x y z (fractional)
Fe: 0.0000 0.0000 0.0000  2 Tc 2.45, 7 Rh 2.59-2.74, 2 Fe 2.70
Tc: 0.5000 0.8665 0.8665  2 Fe 2.45, 7 Rh 2.62-2.71, 2 Tc 2.70
Rh: 0.0000 0.2604 0.2604  3 Fe 2.59-2.74, 4 Tc 2.67, 2 Rh 2.70
Rh: 0.5000 0.6029 0.6029  3 Tc 2.62-2.71, 4 Fe 2.66, 6 Rh 2.70-2.91

=====

no.,uncorrected energy (eV for the cell shown)
1,-36.4
2,-36.5
3,-33.0
4,-33.5